No. 1
{"formula": "SbP2AuO", "functional": "PBE", "state": "relaxed", "n_ef_per_ev_fu": 3.34, "polymorph_energy_ev_per_fu": 0.00, "crystal_system": "tetragonal", "raw_formation_energy_ev_per_atom": 0.5598, "cell": [[5.102, 0.000, 0.000], [0.000, 5.102, 0.000], [0.000, 0.000, 3.847]], "species": ["Sb", "P", "P", "Au", "O"], "frac_coords": [[0.000, 0.000, 0.000], [0.000, 0.500, 0.000], [0.500, 0.000, 0.000], [0.500, 0.500, 0.500], [0.000, 0.000, 0.500]]}


No. 2
{"formula": "SbMo", "functional": "PBE", "state": "relaxed", "n_ef_per_ev_fu": 1.21, "crystal_system": "tetragonal", "raw_formation_energy_ev_per_atom": 0.3713, "cell": [[9.483, 0.000, 0.000], [0.000, 9.483, 0.000], [0.000, 0.000, 4.619]], "species": ["Sb", "Sb", "Sb", "Sb", "Sb", "Sb", "Sb", "Sb", "Mo", "Mo", "Mo", "Mo", "Mo", "Mo", "Mo", "Mo"], "frac_coords": [[0.055, 0.223, 0.000], [0.223, 0.945, 0.000], [0.225, 0.657, 0.500], [0.343, 0.225, 0.500], [0.657, 0.775, 0.500], [0.775, 0.343, 0.500], [0.777, 0.055, 0.000], [0.945, 0.777, 0.000], [0.079, 0.384, 0.500], [0.123, 0.520, 0.000], [0.384, 0.921, 0.500], [0.480, 0.123, 0.000], [0.520, 0.877, 0.000], [0.616, 0.079, 0.500], [0.877, 0.480, 0.000], [0.921, 0.616, 0.500]]}


No. 3
{"formula": "MnSi2Au", "functional": "PBE", "state": "relaxed", "n_ef_per_ev_fu": 2.00, "polymorph_energy_ev_per_fu": 1.25, "crystal_system": "tetragonal", "raw_formation_energy_ev_per_atom": 0.1698, "cell": [[4.056, 0.000, 0.000], [0.000, 4.056, 0.000], [0.000, 0.000, 3.626]], "species": ["Mn", "Si", "Si", "Au"], "frac_coords": [[0.000, 0.000, 0.000], [0.000, 0.500, 0.500], [0.500, 0.000, 0.500], [0.500, 0.500, 0.000]]}


No. 4
{"formula": "Ca2AlCd", "functional": "PBE", "state": "relaxed", "n_ef_per_ev_fu": 2.91, "formation_energy_ev_per_atom": -0.111, "crystal_system": "tetragonal", "cell": [[3.602, 0.000, 0.000], [0.000, 3.602, 0.000], [0.000, 0.000, 8.848]], "species": ["Ca", "Ca", "Al", "Cd"], "frac_coords": [[0.000, 0.000, 0.000], [0.500, 0.500, 0.359], [0.500, 0.500, 0.769], [0.000, 0.000, 0.596]]}


No. 5
{"formula": "Dy2LuCo", "functional": "PBE", "state": "relaxed", "n_ef_per_ev_fu": 5.36, "formation_energy_ev_per_atom": 0.186, "polymorph_energy_ev_per_fu": 0.88, "crystal_system": "trigonal", "cell": [[1.766, 1.019, 10.206], [-1.766, 1.019, 10.206], [0.000, -2.039, 10.206]], "species": ["Dy", "Dy", "Lu", "Co"], "frac_coords": [[0.112, 0.112, 0.112], [0.888, 0.888, 0.888], [0.000, 0.000, 0.000], [0.500, 0.500, 0.500]]}


No. 6
{"formula": "CsOsF2", "functional": "PBE", "state": "relaxed", "n_ef_per_ev_fu": 1.35, "polymorph_energy_ev_per_fu": 0.00, "crystal_system": "trigonal", "raw_formation_energy_ev_per_atom": -0.2729, "cell": [[1.917, 1.107, 6.459], [-1.917, 1.107, 6.459], [0.000, -2.214, 6.459]], "species": ["Cs", "Os", "F", "F"], "frac_coords": [[0.000, 0.000, 0.000], [0.500, 0.500, 0.500], [0.142, 0.142, 0.142], [0.858, 0.858, 0.858]]}


No. 7
{"formula": "Nd7PbSe5", "functional": "PBE", "state": "relaxed", "n_ef_per_ev_fu": 8.64, "crystal_system": "orthorhombic", "raw_formation_energy_ev_per_atom": -1.5211, "cell": [[2.149, -6.906, 0.000], [2.149, 6.906, 0.000], [0.000, 0.000, 25.141]], "species": ["Nd", "Nd", "Nd", "Nd", "Nd", "Nd", "Nd", "Nd", "Nd", "Nd", "Nd", "Nd", "Nd", "Nd", "Pb", "Pb", "Se", "Se", "Se", "Se", "Se", "Se", "Se", "Se", "Se", "Se"], "frac_coords": [[0.027, 0.973, 0.750], [0.137, 0.863, 0.037], [0.137, 0.863, 0.463], [0.319, 0.681, 0.676], [0.319, 0.681, 0.824], [0.406, 0.594, 0.113], [0.406, 0.594, 0.387], [0.594, 0.406, 0.613], [0.594, 0.406, 0.887], [0.681, 0.319, 0.176], [0.681, 0.319, 0.324], [0.863, 0.137, 0.537], [0.863, 0.137, 0.963], [0.973, 0.027, 0.250], [0.303, 0.697, 0.250], [0.697, 0.303, 0.750], [0.046, 0.954, 0.142], [0.046, 0.954, 0.358], [0.227, 0.773, 0.571], [0.227, 0.773, 0.929], [0.500, 0.500, 0.000], [0.500, 0.500, 0.500], [0.773, 0.227, 0.071], [0.773, 0.227, 0.429], [0.954, 0.046, 0.642], [0.954, 0.046, 0.858]]}


No. 8
{"formula": "Nb2TcHW", "functional": "PBE", "state": "relaxed", "n_ef_per_ev_fu": 3.20, "polymorph_energy_ev_per_fu": 0.00, "crystal_system": "tetragonal", "cell": [[4.506, 0.000, 0.000], [0.000, 4.506, 0.000], [0.000, 0.000, 3.441]], "species": ["Nb", "Nb", "Tc", "H", "W"], "frac_coords": [[0.000, 0.500, 0.000], [0.500, 0.000, 0.000], [0.000, 0.000, 0.500], [0.000, 0.000, 0.000], [0.500, 0.500, 0.500]]}


Values of theoretical density, in order: 6.6 7.0 8.6 3.2 8.4 7.3 7.2 11.1, all in g cm⁻³.